ZrBeTc2Ni: optimized geometry, PBE.

Results
calculated formation energy = 1972 meV per atom
uncorrected energy = -28.9 eV/cell
total magnetization = 2.824 μB per cell
N(E_F) = 4.7 states/eV/cell

The structure in POSCAR format:
```
ZrBeTc2Ni
1.0
4.783 0.000 0.000
0.000 4.556 0.000
0.000 0.000 4.783
Zr Be Tc Ni
1 1 2 1
Direct
0.000 0.000 0.000 Zr
0.500 0.500 0.500 Be
0.000 0.000 0.500 Tc
0.500 0.000 0.000 Tc
0.000 0.500 0.000 Ni
```